Record 1
# Ag2Sb2Br

A relaxed structure of Ag2Sb2Br (GGA-PBE, the Alexandria database).

POSCAR file:
```
Ag2Sb2Br
1.0
8.539 0.000 0.000
0.000 8.539 0.000
0.000 0.000 3.379
Sb Br Ag
4 2 4
direct
0.126 0.626 0.500 Sb
0.626 0.874 0.500 Sb
0.874 0.374 0.500 Sb
0.374 0.126 0.500 Sb
0.000 0.000 0.000 Br
0.500 0.500 0.000 Br
0.335 0.835 0.000 Ag
0.835 0.665 0.000 Ag
0.665 0.165 0.000 Ag
0.165 0.335 0.000 Ag
```

Calculated values
* ΔE to the lowest computed polymorph: 0.031 eV/f.u.
* raw formation energy: 0.12 eV per atom
* DOS(E_F): 3.3 states/eV per cell

Record 2
# Ag2SbBr

A relaxed structure of Ag2SbBr (GGA-PBE, the Alexandria database).

POSCAR file:
```
Ag2SbBr
1.0
3.581 0.020 0.000
-1.528 3.238 0.000
0.000 0.000 8.356
Sb Br Ag
1 1 2
direct
0.500 0.500 0.750 Sb
0.500 0.500 0.250 Br
0.000 0.000 0.001 Ag
0.000 0.000 0.499 Ag
```

Calculated values
* ΔE to the lowest computed polymorph: 0.383 eV/f.u.
* raw formation energy: 0.04 eV per atom
* DOS(E_F): 1.3 states/eV per cell

Record 3
# Ag2SbBr

A relaxed structure of Ag2SbBr (GGA-PBE, the Alexandria database).

POSCAR file:
```
Ag2SbBr
1.0
-0.594 0.893 4.982
2.483 -2.855 3.415
3.825 2.010 2.703
Sb Br Ag
1 1 2
direct
0.250 0.250 0.250 Sb
0.500 0.500 0.500 Br
0.000 0.000 0.000 Ag
0.750 0.750 0.750 Ag
```

Calculated values
* ΔE to the lowest computed polymorph: 1.707 eV/f.u.
* raw formation energy: 0.37 eV per atom
* DOS(E_F): 3.5 states/eV per cell

Record 4
# AgSbBr2

A relaxed structure of AgSbBr2 (GGA-PBE, the Alexandria database).

POSCAR file:
```
AgSbBr2
1.0
-4.140 -5.572 -2.282
2.402 -6.459 -2.431
-0.361 5.053 5.266
Sb Br Ag
1 2 1
direct
0.378 0.378 0.000 Sb
0.083 0.083 0.000 Br
0.815 0.315 0.500 Br
0.224 0.724 0.500 Ag
```

Calculated values
* ΔE to the lowest computed polymorph: 0.142 eV/f.u.
* raw formation energy: -0.20 eV per atom

Record 5
# AgSbBr4

A relaxed structure of AgSbBr4 (GGA-PBE, the Alexandria database).

POSCAR file:
```
AgSbBr4
1.0
7.120 -0.559 0.000
-1.819 6.904 0.000
-2.650 -3.172 8.753
Ag Sb Br
2 2 8
direct
0.328 0.578 0.156 Ag
0.672 0.422 0.844 Ag
0.823 0.073 0.145 Sb
0.177 0.927 0.855 Sb
0.315 0.052 0.649 Br
0.034 0.794 0.108 Br
0.166 0.403 0.351 Br
0.426 0.686 0.892 Br
0.685 0.948 0.351 Br
0.834 0.597 0.649 Br
0.966 0.206 0.892 Br
0.574 0.314 0.108 Br
```

Calculated values
* ΔE to the lowest computed polymorph: 0.000 eV/f.u.
* raw formation energy: -0.50 eV per atom
* DOS(E_F): 0.0 states/eV per cell

Record 6
# AgSbBr2

A relaxed structure of AgSbBr2 (GGA-PBE, the Alexandria database).

POSCAR file:
```
AgSbBr2
1.0
-4.969 -1.081 6.053
-3.322 -6.155 3.684
6.410 3.496 -3.032
Sb Br Ag
1 2 1
direct
0.500 0.500 0.000 Sb
0.000 0.000 0.000 Br
0.250 0.750 0.500 Br
0.750 0.250 0.500 Ag
```

Calculated values
* ΔE to the lowest computed polymorph: 1.447 eV/f.u.
* raw formation energy: 0.13 eV per atom
* DOS(E_F): 2.4 states/eV per cell